# Cs2KBi, relaxed, DFT GGA-PBE
data_Cs2KBi
_cell_length_a 8.634
_cell_length_b 11.188
_cell_length_c 12.913
_cell_angle_alpha 116.23
_cell_angle_beta 90.00
_cell_angle_gamma 90.00
_symmetry_space_group_name_H-M 'P 1'
_symmetry_Int_Tables_number 1
loop_
_symmetry_equiv_pos_as_xyz
'x,y,z'
loop_
_atom_site_label
_atom_site_type_symbol
_atom_site_fract_x
_atom_site_fract_y
_atom_site_fract_z
K1 K 0.500 0.795 0.500
K2 K 0.000 0.705 0.500
K3 K 0.000 0.295 0.500
K4 K 0.500 0.205 0.500
Cs1 Cs 0.208 0.867 0.238
Cs2 Cs 0.292 0.367 0.238
Cs3 Cs 0.250 0.914 0.821
Cs4 Cs 0.708 0.633 0.762
Cs5 Cs 0.750 0.086 0.179
Cs6 Cs 0.250 0.414 0.821
Cs7 Cs 0.792 0.133 0.762
Cs8 Cs 0.750 0.586 0.179
Bi1 Bi 0.840 0.960 0.422
Bi2 Bi 0.660 0.460 0.422
Bi3 Bi 0.340 0.540 0.578
Bi4 Bi 0.160 0.040 0.578
# - SG: No. 14

=====

# Th2MoPd, relaxed, DFT GGA-PBE
data_Th2MoPd
_cell_length_a 3.640
_cell_length_b 3.640
_cell_length_c 7.204
_cell_angle_alpha 90.00
_cell_angle_beta 90.00
_cell_angle_gamma 90.00
_symmetry_space_group_name_H-M 'P 1'
_symmetry_Int_Tables_number 1
loop_
_symmetry_equiv_pos_as_xyz
'x,y,z'
loop_
_atom_site_label
_atom_site_type_symbol
_atom_site_fract_x
_atom_site_fract_y
_atom_site_fract_z
Pd1 Pd 0.500 0.500 0.500
Th1 Th 0.000 0.000 0.758
Th2 Th 0.000 0.000 0.242
Mo1 Mo 0.500 0.500 0.000
# - SG: No. 123

=====

no.,electronic total energy (eV/cell),total moment (μB per cell),formation energy from the elements (eV/atom)
1,-30.89,0.000,-0.2590
2,-31.70,0.000,-0.2084